1.
LiPrSmSn (GGA-PBE, relaxed); formation enthalpy at 0 K = -0.44 eV per atom
1.0
0.000 3.805 3.805
3.805 0.000 3.805
3.805 3.805 0.000
Li Pr Sm Sn
1 1 1 1
Direct
0.000 0.000 0.000 Li
0.750 0.750 0.750 Pr
0.250 0.250 0.250 Sm
0.500 0.500 0.500 Sn

***

2.
Sr4Th3CrN8 (GGA-PBE, relaxed); uncorrected formation energy = -967 meV/atom
1.0
6.314 -3.588 0.000
6.314 3.588 0.000
-4.110 0.000 6.044
Sr Th Cr N
4 3 1 8
Direct
0.000 0.000 0.000 Sr
0.000 0.500 0.000 Sr
0.500 0.000 0.000 Sr
0.500 0.500 0.000 Sr
0.000 0.000 0.500 Th
0.000 0.500 0.500 Th
0.500 0.000 0.500 Th
0.500 0.500 0.500 Cr
0.236 0.236 0.712 N
0.250 0.250 0.273 N
0.259 0.719 0.698 N
0.281 0.741 0.302 N
0.719 0.259 0.698 N
0.741 0.281 0.302 N
0.750 0.750 0.727 N
0.764 0.764 0.288 N

***

3.
GdCuPd (GGA-PBE, relaxed); energy above the most stable polymorph in this dataset = 89.3 meV/atom; formation enthalpy at 0 K = -0.47 eV per atom
1.0
-1.789 1.789 4.492
1.789 -1.789 4.492
1.789 1.789 -4.492
Gd Cu Pd
1 1 1
Direct
0.000 0.000 0.000 Gd
0.678 0.678 0.000 Cu
0.327 0.327 0.000 Pd

***

4.
Pm4ZnPd3 (GGA-PBE, relaxed); formation enthalpy at 0 K = -0.69 eV per atom
1.0
3.867 0.000 0.000
0.000 4.629 0.000
0.000 0.000 10.946
Pm Zn Pd
4 1 3
Direct
0.000 0.000 0.000 Pm
0.000 0.500 0.269 Pm
0.500 0.000 0.488 Pm
0.500 0.500 0.774 Pm
0.000 0.000 0.708 Zn
0.000 0.500 0.559 Pd
0.500 0.000 0.219 Pd
0.500 0.500 0.050 Pd

***

5.
LaCdCu2 (GGA-PBE, relaxed); formation enthalpy at 0 K = 0.02 eV per atom
1.0
-2.318 2.318 3.950
2.318 -2.318 3.950
2.318 2.318 -3.950
La Cd Cu
1 1 2
Direct
0.000 0.000 0.000 La
0.250 0.750 0.500 Cd
0.500 0.500 0.000 Cu
0.750 0.250 0.500 Cu

***

6.
CdCu2GeC (GGA-PBE, relaxed); formation enthalpy at 0 K = 0.68 eV per atom
1.0
3.949 0.000 0.000
0.000 3.949 0.000
0.000 0.000 4.886
Cd Cu Ge C
1 2 1 1
Direct
0.000 0.000 0.000 Cd
0.000 0.500 0.500 Cu
0.500 0.000 0.500 Cu
0.500 0.500 0.000 Ge
0.000 0.000 0.500 C

***

7.
NaTeI3 (GGA-PBE, relaxed); energy above the most stable polymorph in this dataset = 1.2 meV/atom; uncorrected formation energy = -482 meV/atom
1.0
5.305 0.000 0.000
0.897 9.062 0.000
1.762 3.093 9.334
Na Te I
2 2 6
Direct
0.213 0.300 0.177 Na
0.787 0.700 0.823 Na
0.302 0.686 0.327 Te
0.698 0.314 0.673 Te
0.010 0.043 0.694 I
0.248 0.680 0.040 I
0.365 0.644 0.637 I
0.635 0.356 0.363 I
0.752 0.320 0.960 I
0.990 0.957 0.306 I

***

8.
CaPuTeSe (GGA-PBE, relaxed); uncorrected formation energy = -1515 meV/atom
1.0
2.159 1.246 7.153
-2.159 1.246 7.153
0.000 -2.493 7.153
Ca Pu Te Se
1 1 1 1
Direct
0.000 0.000 0.000 Ca
0.513 0.513 0.513 Pu
0.756 0.756 0.756 Te
0.256 0.256 0.256 Se

***

9.
CoAsW2 (GGA-PBE, relaxed); formation enthalpy at 0 K = 0.39 eV per atom
1.0
2.703 -3.998 0.000
2.703 3.998 0.000
-0.760 0.000 2.704
Co As W
1 1 2
Direct
0.000 0.000 0.000 Co
0.500 0.500 0.000 As
0.000 0.500 0.500 W
0.500 0.000 0.500 W

***

10.
UGa2Ag (GGA-PBE, relaxed); energy above the most stable polymorph in this dataset = 90.8 meV/atom; formation enthalpy at 0 K = 0.03 eV per atom
1.0
0.000 3.418 3.418
3.418 0.000 3.418
3.418 3.418 0.000
U Ga Ag
1 2 1
Direct
0.000 0.000 0.000 U
0.250 0.250 0.250 Ga
0.750 0.750 0.750 Ga
0.500 0.500 0.500 Ag

***

11.
CaAsOs (GGA-PBE, relaxed); formation enthalpy at 0 K = -0.19 eV per atom
1.0
-1.606 1.606 5.557
1.606 -1.606 5.557
1.606 1.606 -5.557
Ca As Os
1 1 1
Direct
0.000 0.000 0.000 Ca
0.298 0.298 0.000 As
0.696 0.696 0.000 Os

***

12.
KPu2BeO8 (GGA-PBE, relaxed); uncorrected formation energy = -2137 meV/atom
1.0
5.054 0.000 0.000
-0.830 5.391 0.000
-0.580 -0.549 6.871
K Pu Be O
1 2 1 8
Direct
0.000 0.000 0.000 K
0.471 0.462 0.738 Pu
0.529 0.538 0.262 Pu
0.000 0.000 0.500 Be
0.143 0.183 0.659 O
0.194 0.337 0.238 O
0.360 0.672 0.539 O
0.416 0.711 0.042 O
0.584 0.289 0.958 O
0.640 0.328 0.461 O
0.806 0.663 0.762 O
0.857 0.817 0.341 O

***

13.
LaSm4Dy (GGA-PBE, relaxed); energy above the most stable polymorph in this dataset = 1.7 meV/atom; formation enthalpy at 0 K = 0.02 eV per atom
1.0
5.111 0.000 0.000
0.000 3.649 0.000
-0.007 0.000 10.956
La Sm Dy
1 4 1
Direct
0.000 0.000 0.000 La
0.000 0.000 0.336 Sm
0.000 0.000 0.664 Sm
0.500 0.500 0.171 Sm
0.500 0.500 0.829 Sm
0.500 0.500 0.500 Dy

***

14.
Ni2PdI (GGA-PBE, relaxed); energy above the most stable polymorph in this dataset = 43.6 meV/atom; uncorrected formation energy = 477 meV/atom
1.0
-3.520 3.520 2.656
3.520 -3.520 2.656
3.520 3.520 -2.656
Ni Pd I
4 2 2
Direct
0.115 0.625 0.990 Ni
0.375 0.365 0.490 Ni
0.635 0.125 0.010 Ni
0.875 0.885 0.510 Ni
0.250 0.750 0.500 Pd
0.500 0.500 0.000 Pd
0.000 0.000 0.000 I
0.750 0.250 0.500 I

***

15.
La2Be2CdPd5 (GGA-PBE, relaxed); formation enthalpy at 0 K = -0.64 eV per atom
1.0
9.981 0.000 0.000
0.000 9.981 0.000
0.000 0.000 3.560
La Be Cd Pd
4 4 2 10
Direct
0.181 0.319 0.000 La
0.319 0.819 0.000 La
0.681 0.181 0.000 La
0.819 0.681 0.000 La
0.114 0.614 0.000 Be
0.386 0.114 0.000 Be
0.614 0.886 0.000 Be
0.886 0.386 0.000 Be
0.000 0.000 0.000 Cd
0.500 0.500 0.000 Cd
0.000 0.500 0.500 Pd
0.068 0.776 0.500 Pd
0.224 0.068 0.500 Pd
0.276 0.568 0.500 Pd
0.432 0.276 0.500 Pd
0.500 0.000 0.500 Pd
0.568 0.724 0.500 Pd
0.724 0.432 0.500 Pd
0.776 0.932 0.500 Pd
0.932 0.224 0.500 Pd

***

16.
CaZnSbH (GGA-PBE, relaxed); energy above the most stable polymorph in this dataset = 138.7 meV/atom
1.0
3.943 0.000 0.000
0.000 4.238 0.000
0.000 0.000 5.143
Ca Zn Sb H
1 1 1 1
Direct
0.000 0.000 0.000 Ca
0.000 0.500 0.542 Zn
0.500 0.000 0.479 Sb
0.000 0.500 0.879 H

***

17.
KVCd (GGA-PBE, relaxed); energy above the most stable polymorph in this dataset = 167.0 meV/atom; formation enthalpy at 0 K = 0.48 eV per atom
1.0
3.100 0.000 0.000
-0.632 4.319 0.000
-1.234 -0.800 13.133
K V Cd
2 2 2
Direct
0.000 0.000 0.000 K
0.376 0.437 0.691 K
0.534 0.917 0.253 V
0.667 0.533 0.204 V
0.205 0.391 0.381 Cd
0.786 0.906 0.501 Cd

***

18.
Ac6Ir3Br2 (GGA-PBE, relaxed); uncorrected formation energy = -1001 meV/atom
1.0
3.800 -6.593 0.000
3.800 6.593 0.000
-2.540 0.000 8.056
Ac Ir Br
6 3 2
Direct
0.101 0.434 0.804 Ac
0.231 0.231 0.195 Ac
0.434 0.101 0.804 Ac
0.566 0.899 0.196 Ac
0.769 0.769 0.805 Ac
0.899 0.566 0.196 Ac
0.169 0.831 0.000 Ir
0.500 0.500 0.000 Ir
0.831 0.169 0.000 Ir
0.333 0.667 0.500 Br
0.667 0.333 0.500 Br

***

19.
Ga2CuBiPb (GGA-PBE, relaxed); energy above the most stable polymorph in this dataset = 17.8 meV/atom; formation enthalpy at 0 K = 0.16 eV per atom
1.0
4.755 0.000 0.000
0.000 4.755 0.000
0.000 0.000 5.611
Ga Cu Bi Pb
2 1 1 1
Direct
0.000 0.500 0.000 Ga
0.500 0.000 0.000 Ga
0.000 0.000 0.000 Cu
0.000 0.000 0.500 Bi
0.500 0.500 0.500 Pb

***

20.
Tb2AgTe (GGA-PBE, relaxed); energy above the most stable polymorph in this dataset = 103.4 meV/atom; uncorrected formation energy = -692 meV/atom
1.0
2.104 1.215 7.523
-2.104 1.215 7.523
0.000 -2.430 7.523
Tb Ag Te
2 1 1
Direct
0.000 0.000 0.000 Tb
0.179 0.179 0.179 Tb
0.590 0.590 0.590 Ag
0.422 0.422 0.422 Te

***

21.
K2SrFeC (GGA-PBE, relaxed); formation enthalpy at 0 K = 0.96 eV per atom
1.0
6.728 0.000 0.000
0.000 6.728 0.000
0.000 0.000 3.796
K Sr Fe C
2 1 1 1
Direct
0.000 0.500 0.000 K
0.500 0.000 0.000 K
0.000 0.000 0.500 Sr
0.500 0.500 0.000 Fe
0.500 0.500 0.500 C

***

22.
ZrAlCu6 (GGA-PBE, relaxed); energy above the most stable polymorph in this dataset = 0.0 meV/atom; formation enthalpy at 0 K = 0.04 eV per atom
1.0
3.533 0.000 0.000
0.000 3.533 0.000
0.000 0.000 9.549
Zr Al Cu
1 1 6
Direct
0.000 0.000 0.000 Zr
0.000 0.000 0.500 Al
0.000 0.500 0.306 Cu
0.000 0.500 0.694 Cu
0.500 0.000 0.306 Cu
0.500 0.000 0.694 Cu
0.500 0.500 0.126 Cu
0.500 0.500 0.874 Cu

***

23.
Ac3Pm2Si4 (GGA-PBE, relaxed); uncorrected formation energy = -495 meV/atom
1.0
6.019 -2.074 0.000
6.019 2.074 0.000
-0.983 0.000 10.444
Ac Pm Si
3 2 4
Direct
0.000 0.000 0.000 Ac
0.370 0.370 0.635 Ac
0.630 0.630 0.365 Ac
0.342 0.342 0.227 Pm
0.658 0.658 0.773 Pm
0.072 0.072 0.587 Si
0.282 0.282 0.940 Si
0.718 0.718 0.060 Si
0.928 0.928 0.413 Si

***

24.
Ni8B2As (GGA-PBE, relaxed); formation enthalpy at 0 K = -0.19 eV per atom
1.0
6.561 -1.709 0.000
6.561 1.709 0.000
-1.813 0.000 5.049
Ni B As
8 2 1
Direct
0.041 0.041 0.251 Ni
0.204 0.204 0.822 Ni
0.320 0.320 0.539 Ni
0.403 0.403 0.022 Ni
0.597 0.597 0.978 Ni
0.680 0.680 0.461 Ni
0.796 0.796 0.178 Ni
0.959 0.959 0.749 Ni
0.190 0.190 0.194 B
0.810 0.810 0.806 B
0.500 0.500 0.500 As

***

25.
SrAl2Tl (GGA-PBE, relaxed); energy above the most stable polymorph in this dataset = 215.7 meV/atom; formation enthalpy at 0 K = 0.05 eV per atom
1.0
-2.335 2.342 4.815
2.335 -2.342 4.815
2.335 2.342 -4.815
Sr Al Tl
1 2 1
Direct
0.000 0.000 0.000 Sr
0.250 0.750 0.500 Al
0.750 0.250 0.500 Al
0.500 0.500 0.000 Tl

***

Number 1: magnetic moment 0.00 Bohr magnetons per cell. Number 2: magnetic moment 2.00 Bohr magnetons per cell. Number 3: magnetic moment 7.23 Bohr magnetons per cell. Number 4: magnetic moment 0.00 Bohr magnetons per cell. Number 5: magnetic moment 0.00 Bohr magnetons per cell. Number 6: magnetic moment 0.00 Bohr magnetons per cell. Number 7: magnetic moment 0.00 Bohr magnetons per cell. Number 8: magnetic moment 5.95 Bohr magnetons per cell. Number 9: magnetic moment 0.01 Bohr magnetons per cell. Number 10: magnetic moment 2.79 Bohr magnetons per cell. Number 11: magnetic moment 0.00 Bohr magnetons per cell. Number 12: magnetic moment 3.00 Bohr magnetons per cell. Number 13: magnetic moment 0.00 Bohr magnetons per cell. Number 14: magnetic moment 0.00 Bohr magnetons per cell. Number 15: magnetic moment 0.00 Bohr magnetons per cell. Number 16: magnetic moment 0.00 Bohr magnetons per cell. Number 17: magnetic moment 0.00 Bohr magnetons per cell. Number 18: magnetic moment 0.00 Bohr magnetons per cell. Number 19: magnetic moment 0.00 Bohr magnetons per cell. Number 20: magnetic moment 0.00 Bohr magnetons per cell. Number 21: magnetic moment 2.35 Bohr magnetons per cell. Number 22: magnetic moment 0.22 Bohr magnetons per cell. Number 23: magnetic moment 0.00 Bohr magnetons per cell. Number 24: magnetic moment 0.00 Bohr magnetons per cell. Number 25: magnetic moment 0.00 Bohr magnetons per cell.